Compound: Sr2SiBr
Source: the Alexandria database
Functional: GGA-PBEsol
Structure: optimized geometry

The space group is P4/mmm (No. 123) and the conventional cell measures 5.610, 5.610 and 3.555 Å, with angles of 90.00, 90.00 and 90.00 degrees. The distinct sites, in fractional coordinates, are Sr at (0.000, 0.500, 0.000), Si at (0.000, 0.000, 0.500) and Br at (0.500, 0.500, 0.500).

For the total magnetic moment, the calculation gives 0.00 μB/cell. For the formation energy without anion corrections, the calculation gives -0.888 eV/atom. The calculated density comes out at 4.205 Mg/m³.



Compound: CuTcPt2
Source: the Alexandria database
Functional: GGA-PBEsol
Structure: optimized geometry

The space group is P4mm (No. 99) and the conventional cell measures 2.707, 2.707 and 7.542 Å, with angles of 90.00, 90.00 and 90.00 degrees. The distinct sites, in fractional coordinates, are Cu at (0.000, 0.000, 0.000), Tc at (0.500, 0.500, 0.758), Pt at (0.000, 0.000, 0.513) and Pt at (0.500, 0.500, 0.237).

For the total energy, the calculation gives -7.4208 eV/atom. For the total magnetic moment, the calculation gives 0.00 μB/cell. The calculated density comes out at 16.576 Mg/m³.



Compound: NdPS4
Source: the Alexandria database
Functional: GGA-PBEsol
Structure: optimized geometry

The space group is I4_1/acd (No. 142, origin choice 2) and the conventional cell measures 10.797, 10.797 and 19.107 Å, with angles of 90.00, 90.00 and 90.00 degrees. The distinct sites, in fractional coordinates, are Nd at (0.000, 0.250, 0.125), Nd at (0.000, 0.250, 0.375), P at (0.038, 0.000, 0.250), S at (0.069, 0.002, 0.838) and S at (0.090, 0.110, 0.002).

For the total magnetic moment, the calculation gives 0.00 μB/cell. For the formation energy without anion corrections, the calculation gives -1.092 eV/atom. The calculated density comes out at 3.620 Mg/m³.



Compound: Cs2Li3Br5
Source: the Alexandria database
Functional: GGA-PBEsol
Structure: optimized geometry

The space group is C2/m (No. 12) and the conventional cell measures 15.495, 4.345 and 9.853 Å, with angles of 90.00, 114.75 and 90.00 degrees. The distinct sites, in fractional coordinates, are Cs at (0.185, 0.000, 0.225), Li at (0.000, 0.000, 0.500), Li at (0.050, 0.500, 0.790), Br at (0.000, 0.500, 0.000), Br at (0.099, 0.500, 0.440) and Br at (0.134, 0.000, 0.797).

For the total magnetic moment, the calculation gives 0.00 μB/cell. For the formation energy without anion corrections, the calculation gives -1.640 eV/atom. The calculated density comes out at 3.783 Mg/m³.



Compound: Sr3WO6
Source: the Alexandria database
Functional: GGA-PBEsol
Structure: optimized geometry

The space group is R-3 (No. 148, hexagonal axes) and the conventional cell measures 9.7922, 9.7922 and 11.4415 Å, with angles of 90.00, 90.00 and 120.00 degrees. The distinct sites, in fractional coordinates, are Sr at (0.0405, 0.2694, 0.2057), W at (0.0000, 0.0000, 0.0000), W at (0.0000, 0.0000, 0.5000), O at (0.0259, 0.1719, 0.9006) and O at (0.0262, 0.1777, 0.4066).

For the total magnetic moment, the calculation gives 0.00 μB/cell. For the formation energy without anion corrections, the calculation gives -2.769 eV/atom. The calculated density comes out at 5.691 Mg/m³.



Compound: Sr2GdRuO6
Source: the Alexandria database
Functional: GGA-PBEsol
Structure: optimized geometry

The space group is P2_1/c (No. 14) and the conventional cell measures 5.760, 5.835 and 9.957 Å, with angles of 90.00, 124.83 and 90.00 degrees. The distinct sites, in fractional coordinates, are Sr at (0.239, 0.040, 0.249), Gd at (0.500, 0.000, 0.000), Ru at (0.000, 0.000, 0.500), O at (0.148, 0.229, 0.956), O at (0.228, 0.696, 0.959) and O at (0.311, 0.022, 0.731).

For the total magnetic moment, the calculation gives 20.02 μB/cell. For the formation energy without anion corrections, the calculation gives -2.453 eV/atom. The calculated density comes out at 6.401 Mg/m³.



Compound: TlPtI2O
Source: the Alexandria database
Functional: GGA-PBEsol
Structure: optimized geometry

The space group is P4/mmm (No. 123) and the conventional cell measures 5.861, 5.861 and 3.928 Å, with angles of 90.00, 90.00 and 90.00 degrees. The distinct sites, in fractional coordinates, are Tl at (0.000, 0.000, 0.000), Pt at (0.500, 0.500, 0.500), I at (0.000, 0.500, 0.000) and O at (0.000, 0.000, 0.500).

For the total magnetic moment, the calculation gives 0.49 μB/cell. For the formation energy without anion corrections, the calculation gives 0.731 eV/atom. The calculated density comes out at 8.236 Mg/m³.



Compound: ScNiSb
Source: the Alexandria database
Functional: GGA-PBEsol
Structure: optimized geometry

The space group is Imm2 (No. 44) and the conventional cell measures 3.499, 3.834 and 8.166 Å, with angles of 90.00, 90.00 and 90.00 degrees. The distinct sites, in fractional coordinates, are Sc at (0.000, 0.000, 0.000), Ni at (0.000, 0.000, 0.656) and Sb at (0.000, 0.000, 0.333).

For the total magnetic moment, the calculation gives 0.00 μB/cell. For the formation energy without anion corrections, the calculation gives -0.336 eV/atom. The calculated density comes out at 6.833 Mg/m³.